## i
DFT (PBE) results for a relaxed structure of Gd2ErZr.

Calculated values
magnetization = 14.0 μB per formula unit

Lattice parameters (Å, degrees): 4.859 4.859 4.876 90.00 90.00 90.00
Space group P4/mmm (No. 123)
Inequivalent atoms, fractional coordinates:
Gd: 0.000 0.500 0.000
Er: 0.000 0.000 0.500
Zr: 0.500 0.500 0.500



## ii
DFT (PBE) results for a relaxed structure of Gd2ErZr.

Calculated values
magnetization = 16.7 μB per formula unit

Lattice parameters (Å, degrees): 7.782 7.782 7.782 90.00 90.00 90.00
Space group Fm-3m (No. 225)
Inequivalent atoms, fractional coordinates:
Gd: 0.250 0.250 0.250
Er: 0.000 0.000 0.000
Zr: 0.000 0.000 0.500



## iii
DFT (PBE) results for a relaxed structure of Gd2ErZr.

Calculated values
magnetization = 14.3 μB per formula unit

Lattice parameters (Å, degrees): 3.427 3.427 9.876 90.00 90.00 90.00
Space group P4/mmm (No. 123)
Inequivalent atoms, fractional coordinates:
Gd: 0.000 0.000 0.234
Er: 0.500 0.500 0.500
Zr: 0.500 0.500 0.000



Result of the stability comparison: ii is the least stable of them.



## i
DFT (PBE) results for a relaxed structure of GdErZr.

Calculated values
magnetization = 7.4 μB per formula unit

Lattice parameters (Å, degrees): 3.390 3.390 14.747 90.00 90.00 90.00
Space group I4mm (No. 107)
Inequivalent atoms, fractional coordinates:
Gd: 0.000 0.000 0.000
Er: 0.000 0.000 0.311
Zr: 0.000 0.000 0.659



## ii
DFT (PBE) results for a relaxed structure of GdErZr.

Calculated values
magnetization = 7.2 μB per formula unit

Lattice parameters (Å, degrees): 3.4050 3.4050 8.4154 90.00 90.00 120.00
Space group P3m1 (No. 156)
Inequivalent atoms, fractional coordinates:
Gd: 0.0000 0.0000 0.0000
Er: 0.6667 0.3333 0.3693
Zr: 0.3333 0.6667 0.6823



Result of the stability comparison: ii is the least stable of them.



## i
DFT (PBE) results for a relaxed structure of Er2Ge3.

Calculated values
magnetization = 0.0 μB per formula unit

Lattice parameters (Å, degrees): 4.052 6.394 8.277 90.00 90.00 90.00
Space group Immm (No. 71)
Inequivalent atoms, fractional coordinates:
Er: 0.000 0.000 0.225
Ge: 0.000 0.301 0.500
Ge: 0.000 0.500 0.000



## ii
DFT (PBE) results for a relaxed structure of Er2Ge3.

Calculated values
magnetization = 0.0 μB per formula unit

Lattice parameters (Å, degrees): 7.249 7.249 4.121 90.00 90.00 90.00
Space group P4/mbm (No. 127)
Inequivalent atoms, fractional coordinates:
Er: 0.179 0.321 0.000
Ge: 0.000 0.000 0.500
Ge: 0.124 0.624 0.500



## iii
DFT (PBE) results for a relaxed structure of Er2Ge3.

Calculated values
magnetization = 0.0 μB per formula unit

Lattice parameters (Å, degrees): 6.944 4.387 7.617 90.00 90.00 90.00
Space group Amm2 (No. 38)
Inequivalent atoms, fractional coordinates:
Er: 0.232 0.000 0.000
Ge: 0.000 0.000 0.667
Ge: 0.500 0.000 0.334
Ge: 0.500 0.000 0.666



Result of the stability comparison: iii is the least stable of them.



## i
DFT (PBE) results for a relaxed structure of Er2GeH.

Calculated values
magnetization = 0.3 μB per formula unit

Lattice parameters (Å, degrees): 4.3378 4.3378 20.5027 90.00 90.00 120.00
Space group R-3m (No. 166, hexagonal axes)
Inequivalent atoms, fractional coordinates:
Er: 0.0000 0.0000 0.1013
Ge: 0.0000 0.0000 0.5000
H: 0.0000 0.0000 0.0000



## ii
DFT (PBE) results for a relaxed structure of Er2GeH.

Calculated values
magnetization = 0.0 μB per formula unit

Lattice parameters (Å, degrees): 5.098 5.109 11.794 90.00 90.00 90.00
Space group F222 (No. 22)
Inequivalent atoms, fractional coordinates:
Er: 0.000 0.000 0.146
Ge: 0.000 0.000 0.500
H: 0.250 0.250 0.750



Result of the stability comparison: i is the least stable of them.